CdHgP2, relaxed, DFT PBE; energy = -2.57 eV per atom; magnetic moment = 0.0 μB/cell; energy of formation from the pure elements = 0.43 eV per atom; energy relative to the lowest polymorph listed for this composition = 386 meV/atom; density of states at the Fermi level = 2.18 states/eV/cell
1.0
-0.496 2.306 -2.987
2.809 -2.111 -2.097
-3.975 -3.108 -1.739
Cd Hg P
1 1 2
direct
0.500 0.500 0.500 Cd
0.000 0.000 0.500 Hg
0.000 0.000 0.000 P
0.500 0.500 0.000 P